DFT (GGA+U) results for crystalline MnTlF3 at its relaxed geometry. Values from VASP.

Calculated values
Energy (eV/atom): -5.371

Quantum ESPRESSO input file:
```
&SYSTEM
  ibrav = 0, nat = 20, ntyp = 3
/
ATOMIC_SPECIES
Tl 204.38 Tl.upf
Mn 54.94 Mn.upf
F 19.00 F.upf
CELL_PARAMETERS angstrom
-2.6472 5.2885 -11.2612
0.1336 -2.8708 -7.2074
-2.5728 -6.4911 3.3843
ATOMIC_POSITIONS crystal
Tl 0.7500 0.1514 0.6514
Tl 0.2500 0.8486 0.3486
Tl 0.7500 0.6512 0.1512
Tl 0.2500 0.3488 0.8488
Mn 0.2500 0.3482 0.3485
Mn 0.2500 0.8485 0.8482
Mn 0.7500 0.6518 0.6515
Mn 0.7500 0.1515 0.1518
F 0.5017 0.1143 0.3831
F 0.9983 0.8831 0.6143
F 0.4983 0.8857 0.6169
F 0.0017 0.1169 0.3857
F 0.9983 0.3826 0.1139
F 0.5017 0.6139 0.8826
F 0.0017 0.6174 0.8861
F 0.4983 0.3861 0.1174
F 0.5001 0.2494 0.7506
F 0.9999 0.2506 0.7494
F 0.4999 0.7506 0.2494
F 0.0001 0.7494 0.2506
```